Here is a geometry-optimized LaTmIrAu structure from the Alexandria database. Energies are from PBE.

Results
E_form   -0.742 eV/atom
Calculated density   12.6 g cm⁻³

Cell lengths 5.0644, 5.0644, 5.0644 Å; angles 60.00, 60.00, 60.00 degrees
Element x y z (fractional)
1 La 0.2500 0.2500 0.2500
2 Au 0.0000 0.0000 0.0000
3 Tm 0.7500 0.7500 0.7500
4 Ir 0.5000 0.5000 0.5000